A relaxed structure of Cs2ReAgS4, computed with GGA-PBE.

POSCAR file:
```
Cs2ReAgS4
1.0
6.9321 0.1372 0.2101
-2.8296 6.3298 -0.2101
-2.8296 -2.7397 5.7101
Ag Re Cs S
1 1 2 4
Direct
0.5000 0.2500 0.7500 Ag
0.0000 0.5000 0.5000 Re
0.5000 0.7500 0.2500 Cs
0.0000 0.0000 0.0000 Cs
0.6636 0.4240 0.5140 S
0.3364 0.8504 0.7604 S
0.0900 0.2396 0.5760 S
0.9100 0.4860 0.1496 S
```

Output
raw formation energy	-59.13	kJ per mole of atoms
SG	I-4, No. 82

=====

A relaxed structure of AgWBr2, computed with GGA-PBE.

POSCAR file:
```
AgWBr2
1.0
-6.8664 0.4151 -1.1455
-5.5158 0.0111 4.2671
6.3307 2.5746 -1.3876
Br Ag W
2 1 1
Direct
0.2500 0.7500 0.5000 Br
0.0000 0.0000 0.0000 Br
0.7500 0.2500 0.5000 Ag
0.5000 0.5000 0.0000 W
```

Output
raw formation energy	100.17	kJ per mole of atoms
SG	I-4m2, No. 119

=====

A relaxed structure of TlW3Se, computed with GGA-PBE.

POSCAR file:
```
TlW3Se
1.0
4.6492 0.0000 0.0000
0.0000 4.6492 0.0000
0.0000 0.0000 4.6492
Tl W Se
1 3 1
Direct
0.5000 0.5000 0.5000 Tl
0.0000 0.0000 0.5000 W
0.0000 0.5000 0.0000 W
0.5000 0.0000 0.0000 W
0.0000 0.0000 0.0000 Se
```

Output
raw formation energy	157.95	kJ per mole of atoms
SG	Pm-3m, No. 221

=====

A relaxed structure of BaSi4W, computed with GGA-PBE.

POSCAR file:
```
BaSi4W
1.0
1.7425 -4.5567 2.2446
-1.2415 -1.1260 5.1018
-3.4707 -3.9442 1.1111
Si Ba W
4 1 1
Direct
0.3819 0.3819 0.8543 Si
0.3819 0.8543 0.3819 Si
0.3819 0.3819 0.3819 Si
0.8543 0.3819 0.3819 Si
0.0000 0.0000 0.0000 Ba
0.7500 0.7500 0.7500 W
```

Output
raw formation energy	73.12	kJ per mole of atoms
SG	F-43m, No. 216

=====

A relaxed structure of EuMgNi, computed with GGA-PBE.

POSCAR file:
```
EuMgNi
1.0
4.7029 0.0000 0.0000
2.3515 4.0728 0.0000
2.3515 1.3576 3.8399
Eu Ni Mg
1 1 1
Direct
0.0000 0.0000 0.0000 Eu
0.2500 0.2500 0.2500 Ni
0.5000 0.5000 0.5000 Mg
```

Output
ΔH_f (0 K)	0.00	eV/atom
SG	F-43m, No. 216

=====

A relaxed structure of AlSn2Au3, computed with GGA-PBE.

POSCAR file:
```
AlSn2Au3
1.0
-0.9811 4.3274 -0.2944
-3.0363 -0.5747 1.6813
3.8501 0.3107 7.0596
Au Sn Al
3 2 1
Direct
0.6661 0.6023 0.1432 Au
0.3054 0.1024 0.6162 Au
0.8564 0.1019 0.8769 Au
0.1947 0.1026 0.2320 Sn
0.7763 0.6028 0.5094 Sn
0.3065 0.6021 0.8662 Al
```

Output
ΔH_f (0 K)	-0.19	eV/atom
SG	Pm, No. 6

=====

A relaxed structure of Cs3HPt, computed with GGA-PBE.

POSCAR file:
```
Cs3HPt
1.0
-3.1152 -0.4647 4.7594
-2.8140 -4.4145 -2.2729
3.8664 -3.5873 2.1804
Cs H Pt
3 1 1
Direct
0.0000 0.5000 0.0000 Cs
0.0000 0.0000 0.5000 Cs
0.5000 0.0000 0.0000 Cs
0.0000 0.0000 0.0000 H
0.5000 0.5000 0.5000 Pt
```

Output
SG	Pm-3m, No. 221
total DFT energy (no corrections)	-11.947	eV/cell

=====

A relaxed structure of BaSrS2, computed with GGA-PBE.

POSCAR file:
```
BaSrS2
1.0
4.3340 0.0000 0.0000
2.1670 3.7533 0.0000
2.1670 1.2511 7.5185
S Ba Sr
2 1 1
Direct
0.0782 0.0782 0.7653 S
0.2554 0.2554 0.2338 S
0.4986 0.4986 0.5042 Ba
0.6677 0.6677 0.9968 Sr
```

Output
raw formation energy	-196.28	kJ per mole of atoms
SG	R3m, No. 160